a.
VASP calculation (PBE-GGA) on an optimized crystal structure of NiBi3.

Cell lengths 8.460, 8.460, 3.640 Å; angles 90.00, 90.00, 120.00 degrees
Atoms (fractional coordinates):
Ni 0.333 0.667 0.250
Ni 0.667 0.333 0.750
Bi 0.196 0.393 0.750
Bi 0.196 0.804 0.750
Bi 0.393 0.196 0.250
Bi 0.607 0.804 0.750
Bi 0.804 0.196 0.250
Bi 0.804 0.607 0.250

Computed properties:
M_tot (μB/cell): 0.0
Symmetry: P6_3/mmc, No. 194

b.
VASP calculation (PBE-GGA) on an optimized crystal structure of NiBi3.

Cell lengths 5.305, 5.305, 5.305 Å; angles 60.00, 60.00, 60.00 degrees
Atoms (fractional coordinates):
Ni 0.000 0.000 0.000
Bi 0.250 0.250 0.250
Bi 0.500 0.500 0.500
Bi 0.750 0.750 0.750

Computed properties:
M_tot (μB/cell): 0.0
Symmetry: Fm-3m, No. 225

c.
VASP calculation (PBE-GGA) on an optimized crystal structure of NiBi3.

Cell lengths 4.723, 4.723, 4.723 Å; angles 90.00, 90.00, 90.00 degrees
Atoms (fractional coordinates):
Ni 0.000 0.000 0.000
Bi 0.000 0.500 0.500
Bi 0.500 0.000 0.500
Bi 0.500 0.500 0.000

Computed properties:
M_tot (μB/cell): 0.0
Symmetry: Pm-3m, No. 221

The structure with the least stability is b.

a.
VASP calculation (PBE-GGA) on an optimized crystal structure of Ni15Bi.

Cell lengths 4.978, 3.503, 33.678 Å; angles 90.00, 90.01, 90.00 degrees
Atoms (fractional coordinates):
Ni 0.124 0.250 0.165
Ni 0.125 0.250 0.018
Ni 0.125 0.250 0.092
Ni 0.125 0.250 0.797
Ni 0.125 0.250 0.871
Ni 0.125 0.250 0.945
Ni 0.126 0.250 0.240
Ni 0.374 0.750 0.835
Ni 0.375 0.750 0.055
Ni 0.375 0.750 0.128
Ni 0.375 0.750 0.202
Ni 0.375 0.750 0.273
Ni 0.375 0.750 0.908
Ni 0.375 0.750 0.982
Ni 0.376 0.750 0.760
Ni 0.624 0.250 0.240
Ni 0.625 0.250 0.018
Ni 0.625 0.250 0.092
Ni 0.625 0.250 0.727
Ni 0.625 0.250 0.798
Ni 0.625 0.250 0.872
Ni 0.625 0.250 0.945
Ni 0.626 0.250 0.165
Ni 0.874 0.750 0.760
Ni 0.875 0.750 0.055
Ni 0.875 0.750 0.129
Ni 0.875 0.750 0.203
Ni 0.875 0.750 0.908
Ni 0.875 0.750 0.982
Ni 0.876 0.750 0.835
Bi 0.125 0.250 0.707
Bi 0.875 0.750 0.293

Computed properties:
M_tot (μB/cell): 3.8
Symmetry: P2_1/m, No. 11

b.
VASP calculation (PBE-GGA) on an optimized crystal structure of Ni15Bi.

Cell lengths 4.270, 33.694, 4.270 Å; angles 90.00, 108.54, 90.00 degrees
Atoms (fractional coordinates):
Ni 0.000 0.018 0.250
Ni 0.000 0.055 0.750
Ni 0.000 0.092 0.250
Ni 0.000 0.129 0.750
Ni 0.000 0.165 0.250
Ni 0.000 0.202 0.750
Ni 0.000 0.240 0.250
Ni 0.000 0.273 0.750
Ni 0.000 0.727 0.250
Ni 0.000 0.760 0.750
Ni 0.000 0.798 0.250
Ni 0.000 0.835 0.750
Ni 0.000 0.871 0.250
Ni 0.000 0.908 0.750
Ni 0.000 0.945 0.250
Ni 0.000 0.982 0.750
Ni 0.500 0.018 0.750
Ni 0.500 0.055 0.250
Ni 0.500 0.092 0.750
Ni 0.500 0.129 0.250
Ni 0.500 0.165 0.750
Ni 0.500 0.202 0.250
Ni 0.500 0.240 0.750
Ni 0.500 0.760 0.250
Ni 0.500 0.798 0.750
Ni 0.500 0.835 0.250
Ni 0.500 0.871 0.750
Ni 0.500 0.908 0.250
Ni 0.500 0.945 0.750
Ni 0.500 0.982 0.250
Bi 0.500 0.293 0.250
Bi 0.500 0.707 0.750

Computed properties:
M_tot (μB/cell): 10.9
Symmetry: P2/c, No. 13

c.
VASP calculation (PBE-GGA) on an optimized crystal structure of Ni15Bi.

Cell lengths 3.533, 3.533, 40.588 Å; angles 90.00, 90.00, 90.00 degrees
Atoms (fractional coordinates):
Ni 0.250 0.000 0.021
Ni 0.250 0.000 0.106
Ni 0.250 0.000 0.190
Ni 0.250 0.000 0.275
Ni 0.250 0.000 0.684
Ni 0.250 0.000 0.767
Ni 0.250 0.000 0.852
Ni 0.250 0.000 0.937
Ni 0.250 0.500 0.063
Ni 0.250 0.500 0.148
Ni 0.250 0.500 0.233
Ni 0.250 0.500 0.725
Ni 0.250 0.500 0.810
Ni 0.250 0.500 0.894
Ni 0.250 0.500 0.979
Ni 0.750 0.000 0.063
Ni 0.750 0.000 0.148
Ni 0.750 0.000 0.233
Ni 0.750 0.000 0.316
Ni 0.750 0.000 0.725
Ni 0.750 0.000 0.810
Ni 0.750 0.000 0.894
Ni 0.750 0.000 0.979
Ni 0.750 0.500 0.021
Ni 0.750 0.500 0.106
Ni 0.750 0.500 0.190
Ni 0.750 0.500 0.275
Ni 0.750 0.500 0.767
Ni 0.750 0.500 0.852
Ni 0.750 0.500 0.937
Bi 0.250 0.500 0.338
Bi 0.750 0.500 0.662

Computed properties:
M_tot (μB/cell): 16.3
Symmetry: Pmma, No. 51

d.
VASP calculation (PBE-GGA) on an optimized crystal structure of Ni15Bi.

Cell lengths 4.977, 2.634, 39.537 Å; angles 90.00, 90.00, 90.00 degrees
Atoms (fractional coordinates):
Ni 0.118 0.250 0.274
Ni 0.125 0.250 0.021
Ni 0.125 0.250 0.106
Ni 0.125 0.250 0.768
Ni 0.125 0.250 0.852
Ni 0.125 0.250 0.936
Ni 0.126 0.250 0.190
Ni 0.368 0.750 0.726
Ni 0.375 0.750 0.064
Ni 0.375 0.750 0.148
Ni 0.375 0.750 0.233
Ni 0.375 0.750 0.315
Ni 0.375 0.750 0.894
Ni 0.375 0.750 0.979
Ni 0.376 0.750 0.810
Ni 0.624 0.250 0.190
Ni 0.625 0.250 0.021
Ni 0.625 0.250 0.106
Ni 0.625 0.250 0.685
Ni 0.625 0.250 0.767
Ni 0.625 0.250 0.852
Ni 0.625 0.250 0.936
Ni 0.632 0.250 0.274
Ni 0.874 0.750 0.810
Ni 0.875 0.750 0.064
Ni 0.875 0.750 0.148
Ni 0.875 0.750 0.232
Ni 0.875 0.750 0.894
Ni 0.875 0.750 0.979
Ni 0.882 0.750 0.726
Bi 0.125 0.250 0.665
Bi 0.875 0.750 0.335

Computed properties:
M_tot (μB/cell): 7.1
Symmetry: P2_1/m, No. 11

The structure with the least stability is d.

a.
VASP calculation (PBE-GGA) on an optimized crystal structure of TaNiBiPd.

Cell lengths 4.628, 4.628, 4.628 Å; angles 60.00, 60.00, 60.00 degrees
Atoms (fractional coordinates):
Ta 0.000 0.000 0.000
Ni 0.500 0.500 0.500
Bi 0.250 0.250 0.250
Pd 0.750 0.750 0.750

Computed properties:
M_tot (μB/cell): 0.0
Symmetry: F-43m, No. 216

b.
VASP calculation (PBE-GGA) on an optimized crystal structure of TaNiBiPd.

Cell lengths 4.637, 4.637, 4.637 Å; angles 60.00, 60.00, 60.00 degrees
Atoms (fractional coordinates):
Ta 0.000 0.000 0.000
Ni 0.750 0.750 0.750
Bi 0.500 0.500 0.500
Pd 0.250 0.250 0.250

Computed properties:
M_tot (μB/cell): 0.0
Symmetry: F-43m, No. 216

The structure with the least stability is a.

a.
VASP calculation (PBE-GGA) on an optimized crystal structure of TaNiBiPt.

Cell lengths 4.664, 4.664, 4.664 Å; angles 60.00, 60.00, 60.00 degrees
Atoms (fractional coordinates):
Ta 0.000 0.000 0.000
Ni 0.750 0.750 0.750
Bi 0.500 0.500 0.500
Pt 0.250 0.250 0.250

Computed properties:
M_tot (μB/cell): 0.0
Symmetry: F-43m, No. 216

b.
VASP calculation (PBE-GGA) on an optimized crystal structure of TaNiBiPt.

Cell lengths 4.633, 4.633, 4.633 Å; angles 60.00, 60.00, 60.00 degrees
Atoms (fractional coordinates):
Ta 0.000 0.000 0.000
Ni 0.500 0.500 0.500
Bi 0.250 0.250 0.250
Pt 0.750 0.750 0.750

Computed properties:
M_tot (μB/cell): 0.0
Symmetry: F-43m, No. 216

The structure with the least stability is a.

a.
VASP calculation (PBE-GGA) on an optimized crystal structure of Zr2NiBi2.

Cell lengths 8.460, 8.460, 8.460 Å; angles 152.78, 152.78, 38.88 degrees
Atoms (fractional coordinates):
Zr 0.250 0.750 0.500
Zr 0.750 0.250 0.500
Ni 0.000 0.000 0.000
Bi 0.406 0.406 0.000
Bi 0.594 0.594 0.000

Computed properties:
M_tot (μB/cell): 0.1
Symmetry: I4/mmm, No. 139

b.
VASP calculation (PBE-GGA) on an optimized crystal structure of Zr2NiBi2.

Cell lengths 7.404, 7.404, 7.404 Å; angles 146.26, 146.26, 48.46 degrees
Atoms (fractional coordinates):
Zr 0.092 0.092 0.000
Zr 0.908 0.908 0.000
Ni 0.500 0.500 0.000
Bi 0.250 0.750 0.500
Bi 0.750 0.250 0.500

Computed properties:
M_tot (μB/cell): 0.3
Symmetry: I4/mmm, No. 139

The structure with the least stability is b.

a.
VASP calculation (PBE-GGA) on an optimized crystal structure of Bi2Os2O5.

Cell lengths 3.911, 3.911, 7.324 Å; angles 90.00, 90.00, 90.00 degrees
Atoms (fractional coordinates):
Bi 0.000 0.000 0.000
Bi 0.000 0.000 0.500
Os 0.500 0.500 0.190
Os 0.500 0.500 0.810
O 0.000 0.500 0.265
O 0.000 0.500 0.735
O 0.500 0.000 0.265
O 0.500 0.000 0.735
O 0.500 0.500 0.500

Computed properties:
M_tot (μB/cell): 0.0
Symmetry: P4/mmm, No. 123

b.
VASP calculation (PBE-GGA) on an optimized crystal structure of Bi2Os2O5.

Cell lengths 3.530, 3.530, 8.921 Å; angles 90.00, 90.00, 90.00 degrees
Atoms (fractional coordinates):
Bi 0.000 0.000 0.188
Bi 0.000 0.000 0.812
Os 0.500 0.500 0.000
Os 0.500 0.500 0.500
O 0.000 0.000 0.500
O 0.000 0.500 0.354
O 0.000 0.500 0.646
O 0.500 0.000 0.354
O 0.500 0.000 0.646

Computed properties:
M_tot (μB/cell): 0.3
Symmetry: P4/mmm, No. 123

The structure with the least stability is b.

a.
VASP calculation (PBE-GGA) on an optimized crystal structure of PaBiPO.

Cell lengths 4.373, 6.819, 7.166 Å; angles 90.00, 90.00, 90.00 degrees
Atoms (fractional coordinates):
Pa 0.000 0.101 0.000
Pa 0.000 0.899 0.500
Bi 0.500 0.258 0.618
Bi 0.500 0.742 0.118
P 0.500 0.346 0.976
P 0.500 0.654 0.476
O 0.000 0.126 0.289
O 0.000 0.874 0.789

Computed properties:
M_tot (μB/cell): 0.0
Symmetry: Pmc2_1, No. 26

b.
VASP calculation (PBE-GGA) on an optimized crystal structure of PaBiPO.

Cell lengths 4.350, 4.350, 8.859 Å; angles 90.00, 90.00, 90.00 degrees
Atoms (fractional coordinates):
Pa 0.250 0.750 0.000
Pa 0.750 0.250 0.000
Bi 0.250 0.250 0.384
Bi 0.750 0.750 0.616
P 0.250 0.250 0.794
P 0.750 0.750 0.206
O 0.250 0.750 0.500
O 0.750 0.250 0.500

Computed properties:
M_tot (μB/cell): 0.0
Symmetry: P4/nmm, No. 129

The structure with the least stability is b.

a.
VASP calculation (PBE-GGA) on an optimized crystal structure of PaBiPO.

Cell lengths 4.151, 4.151, 9.747 Å; angles 90.00, 90.00, 90.00 degrees
Atoms (fractional coordinates):
Pa 0.250 0.250 0.129
Pa 0.750 0.750 0.871
Bi 0.250 0.750 0.500
Bi 0.750 0.250 0.500
P 0.250 0.250 0.753
P 0.750 0.750 0.247
O 0.250 0.750 0.000
O 0.750 0.250 0.000

Computed properties:
M_tot (μB/cell): 2.0
Symmetry: P4/nmm, No. 129

b.
VASP calculation (PBE-GGA) on an optimized crystal structure of PaBiPO.

Cell lengths 4.207, 8.362, 5.836 Å; angles 90.00, 90.00, 90.00 degrees
Atoms (fractional coordinates):
Pa 0.000 0.183 0.000
Pa 0.000 0.817 0.500
Bi 0.500 0.372 0.505
Bi 0.500 0.628 0.005
P 0.000 0.163 0.499
P 0.000 0.837 0.999
O 0.500 0.136 0.002
O 0.500 0.864 0.502

Computed properties:
M_tot (μB/cell): 2.0
Symmetry: Pmc2_1, No. 26

The structure with the least stability is b.